# 1
{
  "formula": "LiInBr",
  "functional": "PBE",
  "state": "relaxed",
  "dft_energy_ev_per_atom": -2.4618,
  "dos_ef_per_ev_fu": 1.3,
  "cell": [[4.944, 0.000, 0.000], [2.472, 4.281, 0.000], [2.472, 1.427, 4.037]],
  "species": ["In", "Br", "Li"],
  "fractional_positions": [[0.500, 0.500, 0.500], [0.000, 0.000, 0.000], [0.750, 0.750, 0.750]]
}

---

# 2
{
  "formula": "LiIn2Br",
  "functional": "PBE",
  "state": "relaxed",
  "dft_energy_ev_per_atom": -2.3266,
  "dos_ef_per_ev_fu": 2.2,
  "cell": [[1.987, 2.113, 4.643], [-3.304, 0.748, 4.300], [0.528, -3.159, 4.440]],
  "species": ["In", "Br", "Li", "In"],
  "fractional_positions": [[0.250, 0.250, 0.250], [0.500, 0.500, 0.500], [0.000, 0.000, 0.000], [0.750, 0.750, 0.750]]
}

---

# 3
{
  "formula": "LiIn4Br",
  "functional": "PBE",
  "state": "relaxed",
  "dft_energy_ev_per_atom": -2.4838,
  "dos_ef_per_ev_fu": 4.5,
  "cell": [[0.000, 4.428, 4.428], [4.428, 0.000, 4.428], [4.428, 4.428, 0.000]],
  "species": ["In", "In", "Br", "In", "In", "Li"],
  "fractional_positions": [[0.874, 0.375, 0.375], [0.375, 0.874, 0.375], [0.000, 0.000, 0.000], [0.375, 0.375, 0.874], [0.375, 0.375, 0.375], [0.750, 0.750, 0.750]]
}

---

# 4
{
  "formula": "LiIn2Br",
  "functional": "PBE",
  "state": "relaxed",
  "dft_energy_ev_per_atom": -2.5614,
  "dos_ef_per_ev_fu": 1.1,
  "cell": [[5.699, 0.026, 0.000], [-2.173, 5.269, 0.000], [0.000, 0.000, 3.524]],
  "species": ["Br", "In", "In", "Li"],
  "fractional_positions": [[0.000, 0.500, 0.500], [0.000, 0.000, 0.000], [0.500, 0.500, 0.000], [0.500, 0.000, 0.500]]
}

---

# 5
{
  "formula": "LiIn2Br4",
  "functional": "PBE",
  "state": "relaxed",
  "dft_energy_ev_per_atom": -2.6769,
  "dos_ef_per_ev_fu": 6.6,
  "cell": [[4.814, 0.000, 0.000], [0.000, 4.814, 0.000], [2.407, 2.407, 10.072]],
  "species": ["Br", "In", "Br", "In", "Br", "Br", "Li"],
  "fractional_positions": [[0.000, 0.500, 0.000], [0.168, 0.168, 0.664], [0.685, 0.685, 0.630], [0.832, 0.832, 0.336], [0.500, 0.000, 0.000], [0.315, 0.315, 0.370], [0.000, 0.000, 0.000]]
}

---

# 6
{
  "formula": "LiIn2Br3",
  "functional": "PBE",
  "state": "relaxed",
  "dft_energy_ev_per_atom": -3.0007,
  "dos_ef_per_ev_fu": 0.0,
  "cell": [[-0.223, 0.617, -4.322], [7.971, -10.004, -1.840], [-10.780, -8.469, -0.654]],
  "species": ["Br", "In", "Br", "Br", "Br", "In", "Br", "Br", "In", "Br", "In", "Br", "In", "Br", "In", "In", "Li", "Li", "In", "Li", "Li", "Br", "Br", "Br"],
  "fractional_positions": [[0.250, 0.218, 0.795], [0.750, 0.999, 0.324], [0.750, 0.440, 0.637], [0.750, 0.282, 0.295], [0.750, 0.637, 0.941], [0.250, 0.329, 0.489], [0.250, 0.718, 0.705], [0.250, 0.363, 0.059], [0.750, 0.671, 0.511], [0.750, 0.137, 0.559], [0.750, 0.499, 0.176], [0.250, 0.560, 0.363], [0.250, 0.501, 0.824], [0.750, 0.782, 0.205], [0.250, 0.001, 0.676], [0.750, 0.171, 0.989], [0.750, 0.256, 0.704], [0.250, 0.244, 0.204], [0.250, 0.829, 0.011], [0.250, 0.744, 0.296], [0.750, 0.756, 0.796], [0.250, 0.060, 0.137], [0.250, 0.863, 0.441], [0.750, 0.940, 0.863]]
}

---

# 7
{
  "formula": "LiInBr3",
  "functional": "PBE",
  "state": "relaxed",
  "dft_energy_ev_per_atom": -2.9689,
  "dos_ef_per_ev_fu": 0.0,
  "cell": [[7.049, 0.000, -0.923], [0.000, 7.718, 0.000], [0.820, 0.000, 13.561]],
  "species": ["Br", "In", "Br", "Br", "Br", "In", "Li", "Br", "Br", "Br", "In", "Li", "Br", "Br", "Li", "In", "Br", "Br", "Li", "Br"],
  "fractional_positions": [[0.665, 0.706, 0.485], [0.589, 0.412, 0.927], [0.165, 0.794, 0.985], [0.287, 0.288, 0.821], [0.756, 0.560, 0.787], [0.411, 0.588, 0.073], [0.606, 0.897, 0.327], [0.256, 0.940, 0.287], [0.787, 0.212, 0.321], [0.835, 0.206, 0.015], [0.911, 0.912, 0.573], [0.106, 0.603, 0.827], [0.744, 0.060, 0.713], [0.713, 0.712, 0.179], [0.394, 0.103, 0.673], [0.089, 0.088, 0.427], [0.335, 0.294, 0.515], [0.213, 0.788, 0.679], [0.894, 0.397, 0.173], [0.244, 0.440, 0.213]]
}

---

# 8
{
  "formula": "LiInBr",
  "functional": "PBE",
  "state": "relaxed",
  "dft_energy_ev_per_atom": -2.7151,
  "dos_ef_per_ev_fu": 1.0,
  "cell": [[-0.755, 3.274, -1.436], [-2.663, -2.670, -0.039], [-4.052, 3.883, 10.983]],
  "species": ["In", "Li", "Br", "Br", "In", "Li"],
  "fractional_positions": [[0.710, 0.420, 0.662], [0.496, 0.992, 0.000], [0.178, 0.355, 0.861], [0.178, 0.355, 0.139], [0.710, 0.420, 0.338], [0.395, 0.789, 0.500]]
}

---

no.,formation energy (no corrections) (kJ per mole of atoms)
1,-34
2,-6
3,-6
4,-29
5,-64
6,-90
7,-100
8,-59